First-principles (PBE-GGA) data for a geometry-optimized SrC8 structure, as listed in the Alexandria database.

## Properties
ΔH_f (0 K): 2.5279 eV per atom
DFT total energy: -5.86 eV per atom

a = 5.239 Å, b = 5.239 Å, c = 5.239 Å
α = 95.87°, β = 95.87°, γ = 142.70°
Element x y z (fractional)
Sr1 0.000 0.000 0.000
C1 0.000 0.601 0.601
C2 0.746 0.254 0.000
C3 0.399 0.000 0.399
C4 0.254 0.746 0.000
C5 0.254 0.254 0.508
C6 0.601 0.000 0.601
C7 0.746 0.746 0.492
C8 0.000 0.399 0.399